Computed, not measured: a geometry-optimized MoIr2Cl structure at the PBE level of DFT.

Computed properties:
formation energy without anion corrections: 165 kJ/mol of formula units
density of states at the Fermi level: 2.4 states/eV/cell
space-group type: No. 10
E above lowest polymorph: 223.7 meV/atom

abc: 4.2152 2.8226 5.2971
angles: 72.93 90.00 90.00
Atoms (fractional coordinates):
1 Mo 0.5000 0.2500 0.2500
2 Cl 0.5000 0.7500 0.7500
3 Ir 0.0000 0.6238 0.5040
4 Ir 0.0000 0.8762 0.9960